No. 1
{
  "formula": "TiNbZnGa",
  "functional": "PBE-GGA",
  "state": "relaxed",
  "mass_density_g_cm3": 7.11,
  "ef_kj_per_mol_fu": -52,
  "lattice_angstrom": [[0.000, 3.181, 3.181], [3.181, 0.000, 3.181], [3.181, 3.181, 0.000]],
  "species": ["Ti", "Nb", "Zn", "Ga"],
  "frac_coords": [[0.000, 0.000, 0.000], [0.500, 0.500, 0.500], [0.750, 0.750, 0.750], [0.250, 0.250, 0.250]]
}

No. 2
{
  "formula": "ZrTiNbGa",
  "functional": "PBE-GGA",
  "state": "relaxed",
  "mass_density_g_cm3": 6.87,
  "ef_kj_per_mol_fu": -73,
  "lattice_angstrom": [[0.000, 3.316, 3.316], [3.316, 0.000, 3.316], [3.316, 3.316, 0.000]],
  "species": ["Zr", "Ti", "Nb", "Ga"],
  "frac_coords": [[0.000, 0.000, 0.000], [0.500, 0.500, 0.500], [0.250, 0.250, 0.250], [0.750, 0.750, 0.750]]
}

No. 3
{
  "formula": "Nb2TlGa2",
  "functional": "PBE-GGA",
  "state": "relaxed",
  "mass_density_g_cm3": 9.07,
  "ef_kj_per_mol_fu": 28,
  "polymorph_energy_mev_per_atom": 0.0,
  "lattice_angstrom": [[7.513, 0.000, 0.000], [0.000, 7.513, 0.000], [0.000, 0.000, 3.438]],
  "species": ["Nb", "Nb", "Nb", "Nb", "Tl", "Tl", "Ga", "Ga", "Ga", "Ga"],
  "frac_coords": [[0.125, 0.375, 0.000], [0.375, 0.875, 0.000], [0.625, 0.125, 0.000], [0.875, 0.625, 0.000], [0.000, 0.000, 0.000], [0.500, 0.500, 0.000], [0.173, 0.673, 0.500], [0.327, 0.173, 0.500], [0.673, 0.827, 0.500], [0.827, 0.327, 0.500]]
}

No. 4
{
  "formula": "Nb2TlGa",
  "functional": "PBE-GGA",
  "state": "relaxed",
  "mass_density_g_cm3": 10.23,
  "ef_kj_per_mol_fu": 124,
  "polymorph_energy_mev_per_atom": 0.0,
  "lattice_angstrom": [[0.000, 3.342, 3.342], [3.342, 0.000, 3.342], [3.342, 3.342, 0.000]],
  "species": ["Nb", "Nb", "Tl", "Ga"],
  "frac_coords": [[0.250, 0.250, 0.250], [0.750, 0.750, 0.750], [0.000, 0.000, 0.000], [0.500, 0.500, 0.500]]
}

No. 5
{
  "formula": "NbTl2Ga",
  "functional": "PBE-GGA",
  "state": "relaxed",
  "mass_density_g_cm3": 10.14,
  "ef_kj_per_mol_fu": 252,
  "polymorph_energy_mev_per_atom": 58.2,
  "lattice_angstrom": [[0.000, 3.603, 3.603], [3.603, 0.000, 3.603], [3.603, 3.603, 0.000]],
  "species": ["Nb", "Tl", "Tl", "Ga"],
  "frac_coords": [[0.000, 0.000, 0.000], [0.250, 0.250, 0.250], [0.750, 0.750, 0.750], [0.500, 0.500, 0.500]]
}

No. 6
{
  "formula": "NbTl3Ga",
  "functional": "PBE-GGA",
  "state": "relaxed",
  "mass_density_g_cm3": 7.69,
  "ef_kj_per_mol_fu": 302,
  "polymorph_energy_mev_per_atom": 0.0,
  "lattice_angstrom": [[5.513, 0.000, 0.000], [0.000, 5.513, 0.000], [0.000, 0.000, 5.513]],
  "species": ["Nb", "Tl", "Tl", "Tl", "Ga"],
  "frac_coords": [[0.000, 0.000, 0.000], [0.000, 0.000, 0.500], [0.000, 0.500, 0.000], [0.500, 0.000, 0.000], [0.500, 0.500, 0.500]]
}

No. 7
{
  "formula": "NbTl3Ga",
  "functional": "PBE-GGA",
  "state": "relaxed",
  "mass_density_g_cm3": 8.39,
  "ef_kj_per_mol_fu": 507,
  "polymorph_energy_mev_per_atom": 424.7,
  "lattice_angstrom": [[5.354, 0.000, 0.000], [0.000, 5.354, 0.000], [0.000, 0.000, 5.354]],
  "species": ["Nb", "Tl", "Tl", "Tl", "Ga"],
  "frac_coords": [[0.000, 0.000, 0.000], [0.000, 0.500, 0.500], [0.500, 0.000, 0.500], [0.500, 0.500, 0.000], [0.500, 0.500, 0.500]]
}

No. 8
{
  "formula": "Nb2TlGa2",
  "functional": "PBE-GGA",
  "state": "relaxed",
  "mass_density_g_cm3": 9.69,
  "ef_kj_per_mol_fu": 71,
  "polymorph_energy_mev_per_atom": 90.3,
  "lattice_angstrom": [[7.040, 0.000, 0.000], [0.000, 7.040, 0.000], [0.000, 0.000, 3.663]],
  "species": ["Nb", "Nb", "Nb", "Nb", "Tl", "Tl", "Ga", "Ga", "Ga", "Ga"],
  "frac_coords": [[0.173, 0.327, 0.000], [0.327, 0.827, 0.000], [0.673, 0.173, 0.000], [0.827, 0.673, 0.000], [0.000, 0.000, 0.500], [0.500, 0.500, 0.500], [0.124, 0.624, 0.500], [0.376, 0.124, 0.500], [0.624, 0.876, 0.500], [0.876, 0.376, 0.500]]
}

No. 9
{
  "formula": "NbTl2Ga",
  "functional": "PBE-GGA",
  "state": "relaxed",
  "mass_density_g_cm3": 10.30,
  "ef_kj_per_mol_fu": 229,
  "polymorph_energy_mev_per_atom": 0.0,
  "lattice_angstrom": [[-3.969, 3.969, 2.924], [3.969, -3.969, 2.924], [3.969, 3.969, -2.924]],
  "species": ["Nb", "Nb", "Tl", "Tl", "Tl", "Tl", "Ga", "Ga"],
  "frac_coords": [[0.000, 0.000, 0.000], [0.750, 0.250, 0.500], [0.133, 0.625, 0.008], [0.375, 0.383, 0.508], [0.617, 0.125, 0.992], [0.875, 0.867, 0.492], [0.250, 0.750, 0.500], [0.500, 0.500, 0.000]]
}

No. 10
{
  "formula": "Nb2TlGa",
  "functional": "PBE-GGA",
  "state": "relaxed",
  "mass_density_g_cm3": 9.26,
  "ef_kj_per_mol_fu": 177,
  "polymorph_energy_mev_per_atom": 136.0,
  "lattice_angstrom": [[-2.015, 2.015, 10.151], [2.015, -2.015, 10.151], [2.015, 2.015, -10.151]],
  "species": ["Nb", "Nb", "Nb", "Nb", "Tl", "Tl", "Ga", "Ga"],
  "frac_coords": [[0.115, 0.625, 0.990], [0.375, 0.365, 0.490], [0.635, 0.125, 0.010], [0.875, 0.885, 0.510], [0.250, 0.750, 0.500], [0.500, 0.500, 0.000], [0.000, 0.000, 0.000], [0.750, 0.250, 0.500]]
}

No. 11
{
  "formula": "Nb3TlGa",
  "functional": "PBE-GGA",
  "state": "relaxed",
  "mass_density_g_cm3": 8.36,
  "ef_kj_per_mol_fu": 439,
  "polymorph_energy_mev_per_atom": 0.0,
  "lattice_angstrom": [[4.788, 0.000, 0.000], [0.000, 4.788, 0.000], [0.000, 0.000, 4.788]],
  "species": ["Nb", "Nb", "Nb", "Tl", "Ga"],
  "frac_coords": [[0.000, 0.000, 0.500], [0.000, 0.500, 0.000], [0.500, 0.000, 0.000], [0.500, 0.500, 0.500], [0.000, 0.000, 0.000]]
}

No. 12
{
  "formula": "Nb3TlGa",
  "functional": "PBE-GGA",
  "state": "relaxed",
  "mass_density_g_cm3": 6.94,
  "ef_kj_per_mol_fu": 950,
  "polymorph_energy_mev_per_atom": 1057.9,
  "lattice_angstrom": [[5.096, 0.000, 0.000], [0.000, 5.096, 0.000], [0.000, 0.000, 5.096]],
  "species": ["Nb", "Nb", "Nb", "Tl", "Ga"],
  "frac_coords": [[0.000, 0.000, 0.500], [0.000, 0.500, 0.000], [0.500, 0.000, 0.000], [0.000, 0.000, 0.000], [0.500, 0.500, 0.500]]
}

Please write out number 8 again, unchanged.
{
  "formula": "Nb2TlGa2",
  "functional": "PBE-GGA",
  "state": "relaxed",
  "mass_density_g_cm3": 9.69,
  "ef_kj_per_mol_fu": 71,
  "polymorph_energy_mev_per_atom": 90.3,
  "lattice_angstrom": [[7.040, 0.000, 0.000], [0.000, 7.040, 0.000], [0.000, 0.000, 3.663]],
  "species": ["Nb", "Nb", "Nb", "Nb", "Tl", "Tl", "Ga", "Ga", "Ga", "Ga"],
  "frac_coords": [[0.173, 0.327, 0.000], [0.327, 0.827, 0.000], [0.673, 0.173, 0.000], [0.827, 0.673, 0.000], [0.000, 0.000, 0.500], [0.500, 0.500, 0.500], [0.124, 0.624, 0.500], [0.376, 0.124, 0.500], [0.624, 0.876, 0.500], [0.876, 0.376, 0.500]]
}